1.
# Nd2CuAs4Pt3

Nd2CuAs4Pt3 after structural relaxation (PBE, Alexandria via LeMat-Bulk).

Calculated values
DFT total energy = -5.852 eV per atom
Fermi-level density of states = 3.232 states/eV per cell

```
Nd2CuAs4Pt3
1.0
4.447 0.000 0.000
0.000 4.447 0.000
0.000 0.000 9.901
Nd Cu As Pt
2 1 4 3
Direct
0.000 0.500 0.249
0.500 0.000 0.751
0.500 0.500 0.000
0.000 0.000 0.500
0.000 0.500 0.873
0.500 0.000 0.127
0.500 0.500 0.500
0.000 0.000 0.000
0.000 0.500 0.622
0.500 0.000 0.378
```

=====

2.
# Nd2CuAs3Rh4

Nd2CuAs3Rh4 after structural relaxation (PBE, Alexandria via LeMat-Bulk).

Calculated values
DFT total energy = -6.542 eV per atom
Fermi-level density of states = 4.897 states/eV per cell

```
Nd2CuAs3Rh4
1.0
4.222 0.000 0.000
0.000 4.222 0.000
0.000 0.000 10.194
Nd Cu As Rh
2 1 3 4
Direct
0.000 0.500 0.241
0.500 0.000 0.759
0.500 0.500 0.000
0.000 0.000 0.000
0.000 0.500 0.637
0.500 0.000 0.363
0.000 0.000 0.500
0.000 0.500 0.872
0.500 0.000 0.128
0.500 0.500 0.500
```

=====

Please write out number 1 again, unchanged.
# Nd2CuAs4Pt3

Nd2CuAs4Pt3 after structural relaxation (PBE, Alexandria via LeMat-Bulk).

Calculated values
DFT total energy = -5.852 eV per atom
Fermi-level density of states = 3.232 states/eV per cell

```
Nd2CuAs4Pt3
1.0
4.447 0.000 0.000
0.000 4.447 0.000
0.000 0.000 9.901
Nd Cu As Pt
2 1 4 3
Direct
0.000 0.500 0.249
0.500 0.000 0.751
0.500 0.500 0.000
0.000 0.000 0.500
0.000 0.500 0.873
0.500 0.000 0.127
0.500 0.500 0.500
0.000 0.000 0.000
0.000 0.500 0.622
0.500 0.000 0.378
```